No. 1
Below is an optimized crystal structure of Pu2CdGe4Pt3, with properties calculated at the PBE-GGA level.

```
Pu2CdGe4Pt3
1.0
4.3081 0.0000 0.0000
0.0000 4.3081 0.0000
0.0000 0.0000 10.6460
Pu Cd Ge Pt
2 1 4 3
Direct
0.0000 0.5000 0.2439 Pu
0.5000 0.0000 0.7561 Pu
0.0000 0.0000 0.5000 Cd
0.0000 0.0000 0.0000 Ge
0.0000 0.5000 0.6484 Ge
0.5000 0.0000 0.3516 Ge
0.5000 0.5000 0.0000 Ge
0.0000 0.5000 0.8780 Pt
0.5000 0.0000 0.1220 Pt
0.5000 0.5000 0.5000 Pt
```

Properties
Formation enthalpy at 0 K (eV/atom): -0.56


No. 2
Below is an optimized crystal structure of Pu4CdGe2Pt, with properties calculated at the PBE-GGA level.

```
Pu4CdGe2Pt
1.0
2.5656 1.4812 8.2467
-2.5656 1.4812 8.2467
0.0000 -2.9625 8.2467
Pu Cd Ge Pt
4 1 2 1
Direct
0.1136 0.1136 0.1136 Pu
0.3667 0.3667 0.3667 Pu
0.6333 0.6333 0.6333 Pu
0.8864 0.8864 0.8864 Pu
0.5000 0.5000 0.5000 Cd
0.2414 0.2414 0.2414 Ge
0.7586 0.7586 0.7586 Ge
0.0000 0.0000 0.0000 Pt
```

Properties
Formation enthalpy at 0 K (eV/atom): -0.39


No. 3
Below is an optimized crystal structure of RbCd2GePt, with properties calculated at the PBE-GGA level.

```
RbCd2GePt
1.0
5.3747 0.0000 0.0000
0.0000 5.3747 0.0000
0.0000 0.0000 4.8782
Rb Cd Ge Pt
1 2 1 1
Direct
0.0000 0.0000 0.0000 Rb
0.0000 0.5000 0.5000 Cd
0.5000 0.0000 0.5000 Cd
0.5000 0.5000 0.0000 Ge
0.5000 0.5000 0.5000 Pt
```

Properties
Formation enthalpy at 0 K (eV/atom): -0.17


No. 4
Below is an optimized crystal structure of RbCdGePt, with properties calculated at the PBE-GGA level.

```
RbCdGePt
1.0
3.8354 -2.2234 0.0000
3.8354 2.2234 0.0000
-2.5555 0.0000 6.7106
Rb Cd Ge Pt
1 1 1 1
Direct
0.0000 0.0000 0.0000 Rb
0.8048 0.8048 0.4162 Cd
0.5413 0.5413 0.6257 Ge
0.1895 0.1895 0.5690 Pt
```

Properties
Formation enthalpy at 0 K (eV/atom): -0.24


No. 5
Below is an optimized crystal structure of Rb2CdGePt, with properties calculated at the PBE-GGA level.

```
Rb2CdGePt
1.0
6.6509 0.0000 0.0000
0.0000 6.6509 0.0000
0.0000 0.0000 4.6906
Rb Cd Ge Pt
2 1 1 1
Direct
0.0000 0.5000 0.0000 Rb
0.5000 0.0000 0.0000 Rb
0.0000 0.0000 0.5000 Cd
0.5000 0.5000 0.5000 Ge
0.5000 0.5000 0.0000 Pt
```

Properties
Formation enthalpy at 0 K (eV/atom): -0.08


No. 6
Below is an optimized crystal structure of CdGePt2S, with properties calculated at the PBE-GGA level.

```
CdGePt2S
1.0
4.7065 0.0000 0.0000
0.0000 4.7065 0.0000
0.0000 0.0000 4.7971
Cd Ge Pt S
1 1 2 1
Direct
0.0000 0.0000 0.0000 Cd
0.5000 0.5000 0.5000 Ge
0.0000 0.5000 0.5000 Pt
0.5000 0.0000 0.5000 Pt
0.5000 0.5000 0.0000 S
```

Properties
Raw formation energy (meV per atom): 423


| no. | density (Mg/m³) | DFT total energy (eV per atom) | D(E_F) (states/eV/cell) |
| --- | --- | --- | --- |
| 1 | 12.406 | -7.180 | 29.15 |
| 2 | 12.617 | -9.576 | 27.88 |
| 3 | 6.811 | -2.858 | 2.62 |
| 4 | 6.755 | -3.375 | 0.96 |
| 5 | 4.410 | -2.782 | 3.60 |
| 6 | 9.490 | -3.925 | 2.60 |